No. 1
Compound: Y2AgRu
Source: Alexandria via LeMat-Bulk
Functional: PBE
Structure: relaxed

abc: 3.5234 4.4296 5.9575
angles: 90.00 90.00 90.00
Fractional coordinates of all 4 atoms:
Ag (0.0000, 0.0000, 0.4562)
Y (0.5000, 0.5000, 0.2979)
Y (0.0000, 0.0000, 0.9282)
Ru (0.5000, 0.5000, 0.8177)

Results
**SG**: No. 25
**Formation enthalpy at 0 K**: -0.05 eV/atom
**Total magnetization**: 0.000 μB/atom

No. 2
Compound: CaCdF3
Source: Alexandria via LeMat-Bulk
Functional: PBE
Structure: relaxed

abc: 4.4503 4.4503 4.4503
angles: 90.00 90.00 90.00
Fractional coordinates of all 5 atoms:
F (0.0000, 0.5000, 0.0000)
F (0.5000, 0.0000, 0.0000)
F (0.0000, 0.0000, 0.5000)
Cd (0.5000, 0.5000, 0.5000)
Ca (0.0000, 0.0000, 0.0000)

Results
**SG**: No. 221
**Raw formation energy**: -2678 meV per atom
**Excess energy over the best structure of this formula in the dataset**: 0.41 eV per formula unit
**Total magnetization**: 0.089 μB/atom

Number 1: volume 93.0 Å³ per cell, N(E_F) 2.57 states/eV/f.u.. Number 2: volume 88.1 Å³ per cell, N(E_F) 2.81 states/eV/f.u..